{"formula": "SrLa2Zn", "functional": "PBE-GGA", "state": "relaxed", "e_form_kj_per_mol_atoms": 9, "n_ef_per_ev_fu": 6.260, "total_energy_ry_per_atom": -0.22849, "crystal_system": "tetragonal", "lattice": [[-4.9341, -0.4181, -1.1490], [-0.7754, -2.6036, 4.2965], [-0.9459, 4.3642, 2.4739]], "species": ["La", "La", "Sr", "Zn"], "frac_coords": [[0.0000, 0.0000, 0.0000], [0.5000, 0.5000, 0.0000], [0.5000, 0.0000, 0.5000], [0.0000, 0.5000, 0.5000]]}